(1)
DFT (PBE) results for a relaxed structure of TbEuAgRu.

The space group is F-43m (No. 216) and the conventional cell measures 7.128, 7.128 and 7.128 Å, with angles of 90.00, 90.00 and 90.00 degrees. The distinct sites, in fractional coordinates, are Tb at (0.000, 0.000, 0.000), Eu at (0.000, 0.000, 0.500), Ag at (0.250, 0.250, 0.250) and Ru at (0.250, 0.250, 0.750).

The energy relative to the elements is -0.13 eV per atom. As for the density of states at the Fermi level: 11.34 states/eV/f.u. Its calculated density is 9.534 Mg/m³. For the calculated volume, the calculation gives 362 Å³ per cell.

---

(2)
DFT (PBE) results for a relaxed structure of EuThAgRu.

The space group is F-43m (No. 216) and the conventional cell measures 7.233, 7.233 and 7.233 Å, with angles of 90.00, 90.00 and 90.00 degrees. The distinct sites, in fractional coordinates, are Eu at (0.000, 0.000, 0.000), Th at (0.000, 0.000, 0.500), Ag at (0.250, 0.250, 0.250) and Ru at (0.250, 0.250, 0.750).

The energy relative to the elements is -0.11 eV per atom. As for the density of states at the Fermi level: 2.56 states/eV/f.u. Its calculated density is 10.407 Mg/m³. For the calculated volume, the calculation gives 378 Å³ per cell.

---

Look up the calculated density of the first one.
9.534 Mg/m³

---

Number 1 is which compound?
TbEuAgRu